[1]
A geometry-optimized HfV2CoCu structure, computed with PBE.

Computed properties:
space-group type = P4/mmm
size of the total moment = 0.0 Bohr magnetons per cell
mass density = 7.69 g/cm3
formation enthalpy at 0 K = 0.6830 eV/atom

a b c (Å): 4.2550 4.2550 4.8053
angles (deg): 90.00 90.00 90.00
Fractional positions:
1 Hf 0.0000 0.0000 0.0000
2 V 0.0000 0.5000 0.5000
3 V 0.5000 0.0000 0.5000
4 Co 0.0000 0.0000 0.5000
5 Cu 0.5000 0.5000 0.0000


[2]
A geometry-optimized ScAl2Ir structure, computed with PBE.

Computed properties:
space-group type = C2/m
size of the total moment = 0.0 Bohr magnetons per cell
mass density = 7.22 g/cm3
formation enthalpy at 0 K = -0.5935 eV/atom

a b c (Å): 4.6262 4.6262 5.1260
angles (deg): 99.50 99.50 38.28
Fractional positions:
1 Sc 0.0000 0.0000 0.0000
2 Al 0.2361 0.2361 0.7080
3 Al 0.7639 0.7639 0.2920
4 Ir 0.5000 0.5000 0.5000


[3]
A geometry-optimized RbWAuS2 structure, computed with PBE.

Computed properties:
space-group type = P4/mmm
size of the total moment = 0.0 Bohr magnetons per cell
mass density = 6.13 g/cm3
E_form (uncorrected) = 2620 meV per atom

a b c (Å): 5.2025 5.2025 5.3054
angles (deg): 90.00 90.00 90.00
Fractional positions:
1 Rb 0.0000 0.0000 0.0000
2 W 0.5000 0.5000 0.5000
3 Au 0.0000 0.0000 0.5000
4 S 0.0000 0.5000 0.0000
5 S 0.5000 0.0000 0.0000